A geometry-optimized KTiGa structure. Source: Alexandria via LeMat-Bulk, functional PBE-GGA.

a = 7.2476 Å, b = 7.2476 Å, c = 5.4293 Å
α = 92.92°, β = 92.92°, γ = 36.20°
Last column: nearest neighbours and their distance in Å.
Sites, in units of the cell vectors:
K 0.0000 0.0000 0.0000  1 Ti 3.30, 1 Ga 3.62, 4 K 3.62-3.67
K 0.5676 0.5676 0.5156  1 Ga 3.49, 4 K 3.62-3.67, 2 Ti 3.74-3.86
Ti 0.2663 0.2663 0.2170  2 Ti 2.48, 3 Ga 2.60-2.77
Ti 0.7610 0.7610 0.0262  2 Ti 2.48, 1 Ga 2.60
Ga 0.3024 0.3024 0.7519  3 Ti 2.60-2.78, 2 Ga 2.68
Ga 0.8198 0.8198 0.4893  3 Ti 2.60-2.77, 2 Ga 2.68

## Properties
Space-group type ... Cm, No. 8
Formation enthalpy at 0 K ... 0.2208 eV per atom
Total DFT energy (no corrections) ... -3.786 eV/atom
Calculated density ... 3.094 g/cm3